Entry from OQMD: a relaxed CuMo3N5 crystal (PBE).

Unit cell a=5.335 b=5.335 c=4.160 alpha=90.00 beta=90.00 gamma=120.00
Element x y z (fractional)
1 Cu 0.000 0.000 0.000
2 Mo 0.500 0.000 0.500
3 Mo 0.000 0.500 0.500
4 Mo 0.500 0.500 0.500
5 N 0.667 0.333 0.156
6 N 0.333 0.667 0.156
7 N 0.000 0.000 0.500
8 N 0.667 0.333 0.844
9 N 0.333 0.667 0.844

## Properties
As for the symmetry: No. 191. Its crystal system is hexagonal.

=====

Entry from OQMD: a relaxed CuMo4N3 crystal (PBE).

Unit cell a=2.827 b=2.827 c=26.063 alpha=90.00 beta=90.00 gamma=120.00
Element x y z (fractional)
1 Cu 0.333 0.667 0.250
2 Cu 0.667 0.333 0.750
3 Mo 0.333 0.667 0.056
4 Mo 0.000 0.000 0.167
5 Mo 0.000 0.000 0.333
6 Mo 0.333 0.667 0.444
7 Mo 0.667 0.333 0.556
8 Mo 0.000 0.000 0.667
9 Mo 0.000 0.000 0.833
10 Mo 0.667 0.333 0.944
11 N 0.000 0.000 0.000
12 N 0.667 0.333 0.113
13 N 0.667 0.333 0.387
14 N 0.000 0.000 0.500
15 N 0.333 0.667 0.613
16 N 0.333 0.667 0.887

## Properties
As for the symmetry: No. 194. Its crystal system is hexagonal.

=====

Entry from OQMD: a relaxed Nb2Cu3Mo4N3 crystal (PBE).

Unit cell a=5.239 b=5.239 c=13.247 alpha=101.64 beta=101.64 gamma=60.17
Element x y z (fractional)
1 Cu 0.902 0.584 0.247
2 Cu 0.923 0.077 0.250
3 Cu 0.416 0.098 0.253
4 Cu 0.584 0.902 0.747
5 Cu 0.077 0.923 0.750
6 Cu 0.098 0.416 0.753
7 Mo 0.692 0.871 0.080
8 Mo 0.039 0.182 0.081
9 Mo 0.818 0.961 0.419
10 Mo 0.129 0.308 0.420
11 Mo 0.871 0.692 0.580
12 Mo 0.182 0.039 0.581
13 Mo 0.961 0.818 0.919
14 Mo 0.308 0.129 0.920
15 N 0.000 0.500 0.000
16 N 0.642 0.218 0.001
17 N 0.782 0.358 0.499
18 N 0.500 0.000 0.500
19 N 0.218 0.642 0.501
20 N 0.358 0.782 0.999
21 Nb 0.370 0.540 0.123
22 Nb 0.460 0.630 0.377
23 Nb 0.540 0.370 0.623
24 Nb 0.630 0.460 0.877

## Properties
As for the symmetry: No. 15. Its crystal system is monoclinic.

=====

Number 1: size of the total moment 0.1 Bohr magnetons per cell, electronic total energy -73.0 eV/cell. Number 2: size of the total moment 0.0 Bohr magnetons per cell, electronic total energy -143.8 eV/cell. Number 3: size of the total moment 0.0 Bohr magnetons per cell, electronic total energy -202.7 eV/cell.